No. 1
This record from Alexandria via LeMat-Bulk describes crystalline Th4MgHg5 at its relaxed geometry. The functional is PBE.

```
Th4MgHg5
1.0
3.4668 0.0000 0.0000
0.0000 3.4668 0.0000
0.0000 0.0000 21.7047
Th Mg Hg
4 1 5
Direct
0.0000 0.0000 0.1049 Th
0.0000 0.0000 0.3145 Th
0.0000 0.0000 0.6855 Th
0.0000 0.0000 0.8951 Th
0.0000 0.0000 0.5000 Mg
0.5000 0.5000 0.0000 Hg
0.5000 0.5000 0.2105 Hg
0.5000 0.5000 0.4198 Hg
0.5000 0.5000 0.5802 Hg
0.5000 0.5000 0.7895 Hg
```

Space group: P4/mmm
Calculated formation energy in eV/atom: -0.24

***

No. 2
This record from Alexandria via LeMat-Bulk describes crystalline Tm2ThMgHg4 at its relaxed geometry. The functional is PBE.

```
Tm2ThMgHg4
1.0
2.5248 1.4577 9.0869
-2.5248 1.4577 9.0869
0.0000 -2.9154 9.0869
Tm Th Mg Hg
2 1 1 4
Direct
0.2425 0.2425 0.2425 Tm
0.7575 0.7575 0.7575 Tm
0.0000 0.0000 0.0000 Th
0.5000 0.5000 0.5000 Mg
0.1285 0.1285 0.1285 Hg
0.3832 0.3832 0.3832 Hg
0.6168 0.6168 0.6168 Hg
0.8715 0.8715 0.8715 Hg
```

Space group: R-3m
Calculated formation energy in eV/atom: -0.35

***

No. 3
This record from Alexandria via LeMat-Bulk describes crystalline Y2ThMgHg4 at its relaxed geometry. The functional is PBE.

```
Y2ThMgHg4
1.0
2.5630 1.4797 9.0132
-2.5630 1.4797 9.0132
0.0000 -2.9595 9.0132
Y Th Mg Hg
2 1 1 4
Direct
0.2427 0.2427 0.2427 Y
0.7573 0.7573 0.7573 Y
0.0000 0.0000 0.0000 Th
0.5000 0.5000 0.5000 Mg
0.1274 0.1274 0.1274 Hg
0.3797 0.3797 0.3797 Hg
0.6203 0.6203 0.6203 Hg
0.8726 0.8726 0.8726 Hg
```

Space group: R-3m
Calculated formation energy in eV/atom: -0.37

***

The evaluated DOS at the Fermi energy for the records listed, in turn: 10.8; 6.5; 6.8 states/eV/f.u..
The evaluated VASP energy for the records listed, in turn: -3.52; -2.75; -3.27 eV/atom.